[1]
A relaxed structure of MgNiTe2Pt, computed with PBE.

Summary:
V, Å³/cell: 132
Formation energy without anion corrections, eV per atom: 0.940
Magnetization, μB per cell: 1.028

Cell and atoms, written as POSCAR:
```
MgNiTe2Pt
1.0
5.2841 0.0000 0.0000
0.0000 4.7391 0.0000
0.0000 0.0000 5.2841
Ni Mg Te Pt
1 1 2 1
direct
0.5000 0.5000 0.5000
0.0000 0.0000 0.0000
0.0000 0.0000 0.5000
0.5000 0.0000 0.0000
0.0000 0.5000 0.0000
```

[2]
A relaxed structure of Mg2TlNiPt, computed with PBE.

Summary:
V, Å³/cell: 119
Magnetization, μB per cell: 0.824
Raw total energy, eV per atom: -3.3983

Cell and atoms, written as POSCAR:
```
Mg2TlNiPt
1.0
5.0043 0.0000 0.0000
0.0000 4.7613 0.0000
0.0000 0.0000 5.0043
Ni Tl Mg Pt
1 1 2 1
direct
0.0000 0.5000 0.0000
0.5000 0.5000 0.5000
0.0000 0.0000 0.5000
0.5000 0.0000 0.0000
0.0000 0.0000 0.0000
```

[3]
A relaxed structure of TmMgNiPt, computed with PBE.

Summary:
V, Å³/cell: 70
Magnetization, μB per cell: 0.000
Raw total energy, eV per atom: -5.1909

Cell and atoms, written as POSCAR:
```
TmMgNiPt
1.0
-3.1907 0.7528 3.2758
-2.5019 -3.5333 1.6534
0.7103 -1.5209 4.3197
Ni Mg Tm Pt
1 1 1 1
direct
0.7500 0.7500 0.7500
0.5000 0.5000 0.5000
0.0000 0.0000 0.0000
0.2500 0.2500 0.2500
```

[4]
A relaxed structure of MgZnNiPt, computed with PBE.

Summary:
V, Å³/cell: 57
Magnetization, μB per cell: 0.000
Raw total energy, eV per atom: -4.1639

Cell and atoms, written as POSCAR:
```
MgZnNiPt
1.0
-1.5197 3.6208 0.7899
-3.1036 -0.7768 -2.4100
0.5235 -2.7699 3.5477
Mg Zn Ni Pt
1 1 1 1
direct
0.5000 0.5000 0.0000
0.0000 0.0000 0.0000
0.2500 0.7500 0.5000
0.7500 0.2500 0.5000
```